(1)
CaTb2AlO: optimized geometry, PBE.

Structure (POSCAR):
```
CaTb2AlO
1.0
4.780 0.000 0.000
0.000 4.780 0.000
0.000 0.000 4.751
Ca Tb Al O
1 2 1 1
direct
0.000 0.000 0.000
0.000 0.500 0.500
0.500 0.000 0.500
0.500 0.500 0.000
0.000 0.000 0.500
```

Calculated values
**Energy relative to the elements, uncorrected**: -1.33 eV/atom

(2)
SmTm6Sc6: optimized geometry, PBE.

Structure (POSCAR):
```
SmTm6Sc6
1.0
6.359 0.000 0.000
-3.179 5.507 0.000
0.000 0.000 10.857
Sm Tm Sc
1 6 6
direct
0.000 0.000 0.000
0.000 0.000 0.342
0.000 0.000 0.658
0.333 0.667 0.000
0.333 0.667 0.500
0.667 0.333 0.000
0.667 0.333 0.500
0.000 0.500 0.241
0.000 0.500 0.759
0.500 0.000 0.241
0.500 0.000 0.759
0.500 0.500 0.241
0.500 0.500 0.759
```

Calculated values
**Calculated formation energy**: 22 kJ per mole of atoms